A plane-wave DFT calculation with GGA-PBE was carried out for a relaxed structure of K3CeI7.

Calculated values
**Crystal system**: monoclinic
**Raw formation energy**: -1.2821 eV per atom
**Space group**: Cm (8)

Lattice parameters (Å, degrees): 8.409 8.409 9.278 116.04 116.04 84.71
Element x y z (fractional)
K1 0.000 0.000 0.000
K2 0.288 0.729 0.593
K3 0.729 0.288 0.593
Ce1 0.562 0.562 0.150
I1 0.188 0.538 0.836
I2 0.366 0.366 0.253
I3 0.368 0.884 0.316
I4 0.538 0.188 0.836
I5 0.703 0.703 0.964
I6 0.873 0.873 0.528
I7 0.884 0.368 0.316

A plane-wave DFT calculation with GGA-PBE was carried out for a relaxed structure of KCeI3.

Calculated values
**Crystal system**: monoclinic
**Distance to the lowest polymorph of the same formula**: 0.003 eV per atom
**Raw formation energy**: -1.2961 eV per atom
**Space group**: P2_1/m (11)

Lattice parameters (Å, degrees): 9.718 4.506 10.227 90.00 101.52 90.00
Element x y z (fractional)
K1 0.207 0.250 0.402
K2 0.793 0.750 0.598
Ce1 0.380 0.250 0.870
Ce2 0.620 0.750 0.130
I1 0.063 0.250 0.705
I2 0.280 0.750 0.061
I3 0.425 0.750 0.648
I4 0.575 0.250 0.352
I5 0.720 0.250 0.939
I6 0.937 0.750 0.295

A plane-wave DFT calculation with GGA-PBE was carried out for a relaxed structure of K3CeI6.

Calculated values
**Crystal system**: cubic
**Distance to the lowest polymorph of the same formula**: 0.097 eV per atom
**Raw formation energy**: -1.3373 eV per atom
**Space group**: Fm-3m (225)

Lattice parameters (Å, degrees): 9.152 9.152 9.152 60.00 60.00 60.00
Element x y z (fractional)
K1 0.000 0.000 0.000
K2 0.250 0.250 0.250
K3 0.750 0.750 0.750
Ce1 0.500 0.500 0.500
I1 0.259 0.259 0.741
I2 0.259 0.741 0.259
I3 0.259 0.741 0.741
I4 0.741 0.259 0.259
I5 0.741 0.259 0.741
I6 0.741 0.741 0.259

Across the entries above, density of states at the Fermi level takes the values 6.12 12.24 8.15 states/eV/cell, respectively.